First-principles (GGA-PBE) data for a relaxed structure of ScReSi2, as listed in Alexandria via LeMat-Bulk.

Output
* mass density: 7.49 g cm⁻³
* energy relative to the elements, uncorrected: -0.20 eV/atom
* DOS at the Fermi energy: 1.589 states/eV per cell
* symmetry: Immm, No. 71

a b c (Å): 4.955 4.955 4.955
angles (deg): 141.78 120.32 73.11
Fractional positions:
Re  0.750  0.250  0.500
Sc  0.250  0.750  0.500
Si  0.985  0.985  0.000
Si  0.515  0.515  0.000